## MnPt (GGA-PBE)

Data for crystalline MnPt at its relaxed geometry.

Cell: 4.9558 4.9558 4.9558 Å, 134.95 134.95 65.61°
Last column: nearest neighbours and their distance in Å.
Positions (direct):
Mn: 0.3750 0.6250 0.7500  8 Pt 2.68-2.82, 4 Mn 2.82
Mn: 0.6250 0.3750 0.2500  8 Pt 2.68-2.82, 4 Mn 2.82
Pt: 0.1250 0.8750 0.2500  8 Mn 2.68-2.82, 4 Pt 2.82
Pt: 0.8750 0.1250 0.7500  8 Mn 2.68-2.82, 4 Pt 2.82

Raw total energy = -7.88 eV/atom
Energy of formation from the pure elements = -278 meV per atom


## Mn3Pt (GGA-PBE)

Data for crystalline Mn3Pt at its relaxed geometry.

Cell: 4.5509 4.5509 4.5397 Å, 100.36 100.36 34.16°
Last column: nearest neighbours and their distance in Å.
Positions (direct):
Mn: 0.0000 0.0000 0.0000  8 Mn 2.58-2.67, 4 Pt 2.63
Mn: 0.2541 0.2541 0.7664  9 Mn 2.52-2.75, 3 Pt 2.65-2.67
Mn: 0.7459 0.7459 0.2336  9 Mn 2.52-2.75, 3 Pt 2.65-2.67
Pt: 0.5000 0.5000 0.5000  10 Mn 2.63-2.67, 2 Pt 2.67

Raw total energy = -8.41 eV/atom
Energy of formation from the pure elements = -20 meV per atom


## MnPt (GGA-PBE)

Data for crystalline MnPt at its relaxed geometry.

Cell: 7.0864 7.0864 7.0864 Å, 90.00 90.00 90.00°
Last column: nearest neighbours and their distance in Å.
Positions (direct):
Mn: 0.0000 0.2500 0.5000  4 Pt 2.51
Mn: 0.0000 0.7500 0.5000  4 Pt 2.51
Mn: 0.2500 0.5000 0.0000  4 Pt 2.51
Mn: 0.5000 0.0000 0.2500  4 Pt 2.51
Mn: 0.5000 0.0000 0.7500  4 Pt 2.51
Mn: 0.7500 0.5000 0.0000  4 Pt 2.51
Pt: 0.0000 0.5000 0.2500  4 Mn 2.51
Pt: 0.0000 0.5000 0.7500  4 Mn 2.51
Pt: 0.2500 0.0000 0.5000  4 Mn 2.51
Pt: 0.5000 0.2500 0.0000  4 Mn 2.51
Pt: 0.5000 0.7500 0.0000  4 Mn 2.51
Pt: 0.7500 0.0000 0.5000  4 Mn 2.51

Raw total energy = -6.85 eV/atom
Energy of formation from the pure elements = 758 meV per atom


## MnPt2 (GGA-PBE)

Data for crystalline MnPt2 at its relaxed geometry.

Cell: 7.4793 7.4793 2.8261 Å, 90.00 90.00 120.00°
Last column: nearest neighbours and their distance in Å.
Positions (direct):
Mn: 0.0000 0.0000 0.0000  9 Pt 2.63-2.75, 2 Mn 2.83
Mn: 0.3333 0.6667 0.5000  9 Pt 2.64-2.76, 2 Mn 2.83
Mn: 0.6667 0.3333 0.5000  9 Pt 2.64-2.76, 2 Mn 2.83
Pt: 0.0000 0.2958 0.5000  4 Mn 2.63-2.64, 8 Pt 2.83-2.89
Pt: 0.0000 0.6320 0.0000  5 Mn 2.75-2.76, 8 Pt 2.83-2.89
Pt: 0.2958 0.0000 0.5000  4 Mn 2.63-2.64, 8 Pt 2.83-2.89
Pt: 0.3680 0.3680 0.0000  5 Mn 2.75-2.76, 8 Pt 2.83-2.89
Pt: 0.6320 0.0000 0.0000  5 Mn 2.75-2.76, 8 Pt 2.83-2.89
Pt: 0.7042 0.7042 0.5000  4 Mn 2.63-2.64, 8 Pt 2.83-2.89

Raw total energy = -7.34 eV/atom
Energy of formation from the pure elements = -252 meV per atom


## MnPt2 (GGA-PBE)

Data for crystalline MnPt2 at its relaxed geometry.

Cell: 7.1787 7.1787 4.6888 Å, 90.00 90.00 157.44°
Last column: nearest neighbours and their distance in Å.
Positions (direct):
Mn: 0.2137 0.7863 0.7500  6 Pt 2.64-2.65, 6 Mn 2.81-2.92
Mn: 0.7863 0.2137 0.2500  6 Pt 2.64-2.65, 6 Mn 2.81-2.92
Pt: 0.1268 0.8732 0.2500  4 Mn 2.64-2.65, 8 Pt 2.81-2.92
Pt: 0.4463 0.5537 0.2500  2 Mn 2.65, 10 Pt 2.79-2.92
Pt: 0.5537 0.4463 0.7500  2 Mn 2.65, 10 Pt 2.79-2.92
Pt: 0.8732 0.1268 0.7500  4 Mn 2.64-2.65, 8 Pt 2.81-2.92

Raw total energy = -7.25 eV/atom
Energy of formation from the pure elements = -170 meV per atom


## MnPt3 (GGA-PBE)

Data for crystalline MnPt3 at its relaxed geometry.

Cell: 2.8064 3.8631 5.6219 Å, 90.00 90.09 90.00°
Last column: nearest neighbours and their distance in Å.
Positions (direct):
Mn: 0.0000 0.0000 0.0000  10 Pt 2.75-2.81, 2 Mn 2.81
Pt: 0.0000 0.0000 0.5000  10 Pt 2.79-2.81, 2 Mn 2.81
Pt: 0.5000 0.5000 0.2427  8 Pt 2.73-2.89, 4 Mn 2.75
Pt: 0.5000 0.5000 0.7573  8 Pt 2.73-2.89, 4 Mn 2.75

Raw total energy = -7.07 eV/atom
Energy of formation from the pure elements = -246 meV per atom


## MnPt2 (GGA-PBE)

Data for crystalline MnPt2 at its relaxed geometry.

Cell: 4.9765 4.9765 4.9765 Å, 106.36 106.36 115.89°
Last column: nearest neighbours and their distance in Å.
Positions (direct):
Mn: 0.2500 0.2500 0.0000  8 Pt 2.61, 2 Mn 2.64
Mn: 0.7500 0.7500 0.0000  8 Pt 2.61, 2 Mn 2.64
Pt: 0.1566 0.6566 0.8131  4 Mn 2.61, 1 Pt 2.64
Pt: 0.3434 0.1566 0.5000  4 Mn 2.61, 1 Pt 2.64
Pt: 0.6566 0.8434 0.5000  4 Mn 2.61, 1 Pt 2.64
Pt: 0.8434 0.3434 0.1869  4 Mn 2.61, 1 Pt 2.64

Raw total energy = -7.12 eV/atom
Energy of formation from the pure elements = -34 meV per atom


## MnPt (GGA-PBE)

Data for crystalline MnPt at its relaxed geometry.

Cell: 2.8486 4.6287 4.9114 Å, 100.45 106.79 90.01°
Last column: nearest neighbours and their distance in Å.
Positions (direct):
Mn: 0.1182 0.3373 0.2378  7 Pt 2.69-2.73, 5 Mn 2.85-3.00
Mn: 0.8818 0.6627 0.7622  7 Pt 2.69-2.73, 5 Mn 2.85-3.00
Pt: 0.3763 0.1628 0.7510  7 Mn 2.69-2.73, 4 Pt 2.85-2.92
Pt: 0.6237 0.8372 0.2490  7 Mn 2.69-2.73, 4 Pt 2.85-2.92

Raw total energy = -7.87 eV/atom
Energy of formation from the pure elements = -267 meV per atom


## MnPt (GGA-PBE)

Data for crystalline MnPt at its relaxed geometry.

Cell: 6.8705 6.8705 6.8705 Å, 92.27 92.27 157.05°
Last column: nearest neighbours and their distance in Å.
Positions (direct):
Mn: 0.0996 0.3656 0.4652  4 Pt 2.57-2.63, 6 Mn 2.63-2.73
Mn: 0.3656 0.9004 0.2660  4 Pt 2.57-2.63, 6 Mn 2.63-2.73
Mn: 0.6344 0.0996 0.7340  4 Pt 2.57-2.63, 6 Mn 2.63-2.73
Mn: 0.9004 0.6344 0.5348  4 Pt 2.57-2.63, 6 Mn 2.63-2.73
Pt: 0.0998 0.8259 0.9258  4 Mn 2.57-2.63, 4 Pt 2.70-2.73
Pt: 0.1741 0.0998 0.2739  4 Mn 2.57-2.63, 4 Pt 2.70-2.73
Pt: 0.8259 0.9002 0.7261  4 Mn 2.57-2.63, 4 Pt 2.70-2.73
Pt: 0.9002 0.1741 0.0742  4 Mn 2.57-2.63, 4 Pt 2.70-2.73

Raw total energy = -7.48 eV/atom
Energy of formation from the pure elements = 126 meV per atom


## MnPt (GGA-PBE)

Data for crystalline MnPt at its relaxed geometry.

Cell: 9.8832 9.8832 2.7016 Å, 90.00 90.00 90.00°
Last column: nearest neighbours and their distance in Å.
Positions (direct):
Mn: 0.0065 0.5997 0.0000  1 Mn 1.98
Mn: 0.1857 0.3674 0.5000  2 Mn 2.35, 4 Pt 2.45-2.61
Mn: 0.3674 0.8143 0.5000  2 Mn 2.35, 4 Pt 2.45-2.61
Mn: 0.4003 0.0065 0.0000  1 Mn 1.98
Mn: 0.5997 0.9935 0.0000  1 Mn 1.98
Mn: 0.6326 0.1857 0.5000  2 Mn 2.35, 4 Pt 2.45-2.61
Mn: 0.8143 0.6326 0.5000  2 Mn 2.35, 4 Pt 2.45-2.61
Mn: 0.9935 0.4003 0.0000  1 Mn 1.98
Pt: 0.1283 0.1483 0.0000  3 Mn 2.61-2.82, 4 Pt 2.70-2.74
Pt: 0.1483 0.8717 0.0000  3 Mn 2.61-2.82, 4 Pt 2.70-2.74
Pt: 0.2220 0.6123 0.5000  4 Mn 2.45-2.53, 2 Pt 2.70
Pt: 0.3877 0.2220 0.5000  4 Mn 2.45-2.53, 2 Pt 2.70
Pt: 0.6123 0.7780 0.5000  4 Mn 2.45-2.53, 2 Pt 2.70
Pt: 0.7780 0.3877 0.5000  4 Mn 2.45-2.53, 2 Pt 2.70
Pt: 0.8517 0.1283 0.0000  3 Mn 2.61-2.82, 4 Pt 2.70-2.74
Pt: 0.8717 0.8517 0.0000  3 Mn 2.61-2.82, 4 Pt 2.70-2.74

Raw total energy = -7.33 eV/atom
Energy of formation from the pure elements = 275 meV per atom


## MnPt (GGA-PBE)

Data for crystalline MnPt at its relaxed geometry.

Cell: 6.5115 6.5115 4.0000 Å, 90.00 90.00 147.90°
Last column: nearest neighbours and their distance in Å.
Positions (direct):
Mn: 0.0000 0.0000 0.0000  8 Pt 2.69-2.73, 4 Mn 2.89
Mn: 0.1667 0.8333 0.5000  8 Pt 2.69-2.92, 4 Mn 2.75-2.89
Mn: 0.8333 0.1667 0.5000  8 Pt 2.69-2.92, 4 Mn 2.75-2.89
Pt: 0.3364 0.6636 0.0000  8 Mn 2.69-2.92, 4 Pt 2.81-2.86
Pt: 0.5000 0.5000 0.5000  8 Mn 2.69-2.76, 4 Pt 2.86
Pt: 0.6636 0.3364 0.0000  8 Mn 2.69-2.92, 4 Pt 2.81-2.86

Raw total energy = -7.91 eV/atom
Energy of formation from the pure elements = -301 meV per atom


## MnPt3 (GGA-PBE)

Data for crystalline MnPt3 at its relaxed geometry.

Cell: 9.0334 9.0334 9.0334 Å, 17.98 17.98 17.98°
Last column: nearest neighbours and their distance in Å.
Positions (direct):
Mn: 0.0000 0.0000 0.0000  6 Pt 2.63, 6 Mn 2.82
Pt: 0.2557 0.2557 0.2557  3 Mn 2.63, 9 Pt 2.82-2.88
Pt: 0.5000 0.5000 0.5000  12 Pt 2.82-2.88
Pt: 0.7443 0.7443 0.7443  3 Mn 2.63, 9 Pt 2.82-2.88

Raw total energy = -6.98 eV/atom
Energy of formation from the pure elements = -154 meV per atom


## MnPt (GGA-PBE)

Data for crystalline MnPt at its relaxed geometry.

Cell: 4.6622 4.6622 4.6622 Å, 50.90 50.90 50.90°
Last column: nearest neighbours and their distance in Å.
Positions (direct):
Mn: 0.1704 0.1704 0.1704  3 Mn 2.32
Mn: 0.8296 0.8296 0.8296  3 Mn 2.32
Pt: 0.3907 0.3907 0.3907  7 Mn 2.64-2.69, 4 Pt 2.65-2.70
Pt: 0.6093 0.6093 0.6093  7 Mn 2.64-2.69, 4 Pt 2.65-2.70

Raw total energy = -7.50 eV/atom
Energy of formation from the pure elements = 107 meV per atom